A relaxed structure of CoTeRh2O6, computed with GGA+U.

abc: 5.4565 5.4565 13.6471
angles: 90.00 90.00 120.00
Space group R3 (No. 146, hexagonal axes)
Unique sites:
Co1 0.0000 0.0000 0.0000 (multiplicity 3)
Te1 0.0000 0.0000 0.5010 (multiplicity 3)
Rh1 0.0000 0.0000 0.2887 (multiplicity 3)
Rh2 0.0000 0.0000 0.7918 (multiplicity 3)
O1 0.0116 0.7174 0.3908 (multiplicity 9)
O2 0.0292 0.3039 0.8874 (multiplicity 9)

Computed properties:
E in eV per atom: -6.030